Record 1
Below is crystalline Na3SiAg at its relaxed geometry, with properties calculated at the PBE-GGA level.

Values from the calculation:
ΔE_f (raw) = 0.49 eV per atom
Total magnetic moment = 0.211 μB/atom
E above lowest polymorph = 0.000 eV/atom
SG = Pm-3m, No. 221
ρ = 1.97 g/cm3

Lattice parameters (Å, degrees): 5.567 5.567 5.567 90.00 90.00 90.00
Sites, in units of the cell vectors:
Na  0.000  0.000  0.500
Na  0.000  0.500  0.000
Na  0.500  0.000  0.000
Si  0.000  0.000  0.000
Ag  0.500  0.500  0.500

---

Record 2
Below is crystalline CePm2Tl2 at its relaxed geometry, with properties calculated at the PBE-GGA level.

Values from the calculation:
Total magnetic moment = 0.154 μB/atom
E above lowest polymorph = 0.109 eV/atom
SG = P6_3/mmc, No. 194
Formation energy = -55.6 meV/atom
ρ = 9.19 g/cm3

Lattice parameters (Å, degrees): 5.227 5.227 12.817 90.00 90.00 120.00
Sites, in units of the cell vectors:
Ce  0.000  0.000  0.250
Ce  0.000  0.000  0.750
Pm  0.000  0.000  0.000
Pm  0.000  0.000  0.500
Pm  0.333  0.667  0.250
Pm  0.667  0.333  0.750
Tl  0.333  0.667  0.624
Tl  0.333  0.667  0.876
Tl  0.667  0.333  0.124
Tl  0.667  0.333  0.376

---

Record 3
Below is crystalline LaMnZn2 at its relaxed geometry, with properties calculated at the PBE-GGA level.

Values from the calculation:
Total magnetic moment = 0.994 μB/atom
SG = Imm2, No. 44
Formation energy = 80.2 meV/atom
ρ = 6.47 g/cm3

Lattice parameters (Å, degrees): 4.914 4.914 4.914 124.70 115.13 90.35
Sites, in units of the cell vectors:
La  0.000  0.000  0.000
Mn  0.704  0.204  0.500
Zn  0.292  0.792  0.500
Zn  0.490  0.490  0.000

---

Copy entry 1 word for word.
Below is crystalline Na3SiAg at its relaxed geometry, with properties calculated at the PBE-GGA level.

Values from the calculation:
ΔE_f (raw) = 0.49 eV per atom
Total magnetic moment = 0.211 μB/atom
E above lowest polymorph = 0.000 eV/atom
SG = Pm-3m, No. 221
ρ = 1.97 g/cm3

Lattice parameters (Å, degrees): 5.567 5.567 5.567 90.00 90.00 90.00
Sites, in units of the cell vectors:
Na  0.000  0.000  0.500
Na  0.000  0.500  0.000
Na  0.500  0.000  0.000
Si  0.000  0.000  0.000
Ag  0.500  0.500  0.500